[1]
This record from the Alexandria database describes a PBEsol-optimized structure of Zr2FeAs. The functional is meta-GGA SCAN.

Cell: 3.4052 3.4052 5.8695 Å, 90.02 90.00 90.00°
Each line ends with the local moment (μB).
Positions (direct):
As: 0.5000 0.5000 0.5000  0.02
Fe: 0.5000 0.5000 0.0000  1.96
Zr: 0.0000 0.0002 0.7530  -0.14
Zr: 0.0000 0.9998 0.2470  -0.14

Raw total energy: -1.8742 Ry/atom
Density: 7.642 Mg/m³
Total moment: 1.6 μB/f.u.
Calculated formation energy: -571 meV/atom

***

[2]
This record from the Alexandria database describes a PBEsol-optimized structure of Sc3CdC. The functional is meta-GGA SCAN.

Cell: 4.5150 4.5150 4.5150 Å, 90.00 90.00 90.00°
Positions (direct):
Sc: 0.0000 0.5000 0.5000
Sc: 0.5000 0.5000 0.0000
Sc: 0.5000 0.0000 0.5000
C: 0.5000 0.5000 0.5000
Cd: 0.0000 0.0000 0.0000

Raw total energy: -1.2678 Ry/atom
Density: 4.678 Mg/m³
Total moment: 0.1 μB/f.u.
Calculated formation energy: -604 meV/atom

***

[3]
This record from the Alexandria database describes a PBEsol-optimized structure of Ca2CdSe. The functional is meta-GGA SCAN.

Cell: 3.7011 3.9560 8.2584 Å, 103.86 102.95 90.00°
Positions (direct):
Ca: 0.9399 0.9399 0.8797
Ca: 0.7192 0.2192 0.4384
Se: 0.2918 0.7918 0.5836
Cd: 0.5491 0.5491 0.0983

Raw total energy: -1.3594 Ry/atom
Relative energy among the computed polymorphs: 87 meV/atom
Density: 3.947 Mg/m³
Total moment: 0.0 μB/f.u.
E_form (uncorrected): -24.0 kcal/mol of atoms

***

[4]
This record from the Alexandria database describes a PBEsol-optimized structure of RbP2RuCl. The functional is meta-GGA SCAN.

Cell: 4.4805 4.4805 5.6421 Å, 90.00 90.00 90.00°
Positions (direct):
Ru: 0.0000 0.0000 0.0000
P: 0.0000 0.5000 0.0000
P: 0.5000 0.0000 0.0000
Rb: 0.5000 0.5000 0.5000
Cl: 0.0000 0.0000 0.5000

Raw total energy: -1.2612 Ry/atom
Density: 4.163 Mg/m³
Total moment: 0.0 μB/f.u.
E_form (uncorrected): -6.7 kcal/mol of atoms

***

[5]
This record from the Alexandria database describes a PBEsol-optimized structure of RhWCl2. The functional is meta-GGA SCAN.

Cell: 2.9274 2.9274 8.1228 Å, 79.62 79.62 60.00°
Positions (direct):
Rh: 0.0000 0.0000 0.0000
W: 0.5000 0.5000 0.5000
Cl: 0.2442 0.2442 0.2673
Cl: 0.7558 0.7558 0.7327

Raw total energy: -2.1575 Ry/atom
Relative energy among the computed polymorphs: 742 meV/atom
Density: 10.072 Mg/m³
Total moment: 0.0 μB/f.u.
E_form (uncorrected): 11.5 kcal/mol of atoms

***

[6]
This record from the Alexandria database describes a PBEsol-optimized structure of KSI2. The functional is meta-GGA SCAN.

Cell: 6.4847 6.4847 9.7512 Å, 109.42 109.42 90.00°
Positions (direct):
I: 0.4915 0.8750 0.2500
I: 0.7585 0.3750 0.2500
I: 0.1250 0.2415 0.7500
I: 0.6250 0.5085 0.7500
K: 0.2500 0.7500 0.5000
K: 0.0000 0.0000 0.0000
S: 0.7500 0.2500 0.5000
S: 0.5000 0.5000 0.0000

Raw total energy: -1.7033 Ry/atom
Density: 2.982 Mg/m³
Total moment: 0.0 μB/f.u.
E_form (uncorrected): -7.3 kcal/mol of atoms

***

[7]
This record from the Alexandria database describes a PBEsol-optimized structure of Re3TeC. The functional is meta-GGA SCAN.

Cell: 4.7690 4.7690 4.7690 Å, 90.00 90.00 90.00°
Each line ends with the local moment (μB).
Positions (direct):
Re: 0.0000 0.5000 0.0000  0.71
Re: 0.0000 0.0000 0.5000  0.71
Re: 0.5000 0.0000 0.0000  0.71
C: 0.5000 0.5000 0.5000  -0.51
Te: 0.0000 0.0000 0.0000  -0.03

Raw total energy: -3.5303 Ry/atom
Density: 10.690 Mg/m³
Total moment: 1.7 μB/f.u.
E_form (uncorrected): 94.5 kcal/mol of atoms

***

[8]
This record from the Alexandria database describes a PBEsol-optimized structure of Zr2Mo. The functional is meta-GGA SCAN.

Cell: 3.3478 3.3478 5.6973 Å, 107.09 107.09 90.00°
Positions (direct):
Mo: 0.0000 0.0000 0.0000
Zr: 0.3495 0.3495 0.6989
Zr: 0.6505 0.6505 0.3011

Raw total energy: -2.3578 Ry/atom
Relative energy among the computed polymorphs: 11 meV/atom
Density: 7.959 Mg/m³
Total moment: 0.0 μB/f.u.
Calculated formation energy: 14 meV/atom

***

[9]
This record from the Alexandria database describes a PBEsol-optimized structure of LiLuIn2. The functional is meta-GGA SCAN.

Cell: 4.9851 4.9851 4.9851 Å, 60.00 60.00 60.00°
Positions (direct):
Lu: 0.5000 0.5000 0.5000
In: 0.2500 0.2500 0.2500
In: 0.7500 0.7500 0.7500
Li: 0.0000 0.0000 0.0000

Raw total energy: -2.3239 Ry/atom
Density: 7.801 Mg/m³
Total moment: 0.0 μB/f.u.
Calculated formation energy: -492 meV/atom

***

[10]
This record from the Alexandria database describes a PBEsol-optimized structure of TaCrNi2. The functional is meta-GGA SCAN.

Cell: 2.6013 4.1576 4.5559 Å, 90.00 91.01 90.00°
Positions (direct):
Cr: 0.3554 0.5000 0.8141
Ni: 0.8797 0.0000 0.9549
Ni: 0.8736 0.5000 0.2761
Ta: 0.3914 0.0000 0.4548

Raw total energy: -2.1549 Ry/atom
Relative energy among the computed polymorphs: 126 meV/atom
Density: 11.808 Mg/m³
Total moment: 0.0 μB/f.u.
Calculated formation energy: 10 meV/atom

***

[11]
This record from the Alexandria database describes a PBEsol-optimized structure of Ba2SiHg. The functional is meta-GGA SCAN.

Cell: 4.0164 5.7037 5.7037 Å, 90.00 90.00 90.00°
Positions (direct):
Ba: 0.0000 0.0000 0.5000
Ba: 0.0000 0.5000 0.0000
Hg: 0.5000 0.5000 0.5000
Si: 0.5000 0.0000 0.0000

Raw total energy: -2.9195 Ry/atom
Density: 6.397 Mg/m³
Total moment: 0.0 μB/f.u.
E_form (uncorrected): -9.3 kcal/mol of atoms

***

[12]
This record from the Alexandria database describes a PBEsol-optimized structure of Al3CoSe. The functional is meta-GGA SCAN.

Cell: 4.8048 4.8048 4.8048 Å, 90.00 90.00 90.00°
Each line ends with the local moment (μB).
Positions (direct):
Co: 0.5000 0.5000 0.5000  2.08
Al: 0.0000 0.5000 0.0000  0.00
Al: 0.0000 0.0000 0.5000  0.00
Al: 0.5000 0.0000 0.0000  0.00
Se: 0.0000 0.0000 0.0000  -0.01

Raw total energy: -0.8182 Ry/atom
Density: 3.276 Mg/m³
Total moment: 2.1 μB/f.u.
E_form (uncorrected): 23.0 kcal/mol of atoms

***

Question: The highest total moment belongs to which entry?
Answer: Al3CoSe

***

Question: What is the total moment in the twelfth record?
Answer: 2.1 μB/f.u.

***

Question: Which value of raw total energy does entry 3 give?
Answer: -1.3594 Ry/atom

***

What did the tenth record say?
This record from the Alexandria database describes a PBEsol-optimized structure of TaCrNi2. The functional is meta-GGA SCAN.

Cell: 2.6013 4.1576 4.5559 Å, 90.00 91.01 90.00°
Positions (direct):
Cr: 0.3554 0.5000 0.8141
Ni: 0.8797 0.0000 0.9549
Ni: 0.8736 0.5000 0.2761
Ta: 0.3914 0.0000 0.4548

Raw total energy: -2.1549 Ry/atom
Relative energy among the computed polymorphs: 126 meV/atom
Density: 11.808 Mg/m³
Total moment: 0.0 μB/f.u.
Calculated formation energy: 10 meV/atom